DFT (GGA-PBE) results for a geometry-optimized LiInFeCo structure.

Values from the calculation:
- space group = F-43m, No. 216
- excess energy over the best structure of this formula in the dataset (meV/atom) = 0

Lattice parameters (Å, degrees): 4.2312 4.2312 4.2312 60.00 60.00 60.00
Closest atoms and distances in Å follow each position.
Atoms (fractional coordinates):
In 0.0000 0.0000 0.0000  4 Li 2.59, 4 Co 2.59
Li 0.7500 0.7500 0.7500  4 Fe 2.59, 4 In 2.59
Co 0.2500 0.2500 0.2500  4 Fe 2.59, 4 In 2.59
Fe 0.5000 0.5000 0.5000  4 Li 2.59, 4 Co 2.59